Entry 1:
LiSm3Ir8 | GGA-PBE | relaxed

Results
formation enthalpy at 0 K	-0.587	eV per atom
electronic total energy	-94.0	eV for the cell shown
total magnetization	0.00	μB per cell
DOS at the Fermi energy	13.868	states/eV/cell

Geometry as CIF:
```
data_LiSm3Ir8
_chemical_formula_sum 'Li1 Sm3 Ir8'
_symmetry_space_group_name_H-M 'P 1'
_symmetry_Int_Tables_number 1
_cell_length_a 5.362
_cell_length_b 5.362
_cell_length_c 9.285
_cell_angle_alpha 73.21
_cell_angle_beta 73.21
_cell_angle_gamma 60.00
loop_
_symmetry_equiv_pos_as_xyz
'x,y,z'
loop_
_atom_site_label
_atom_site_fract_x
_atom_site_fract_y
_atom_site_fract_z
_atom_site_occupancy
Li1 0.872 0.872 0.385 1
Sm1 0.376 0.376 0.872 1
Sm2 0.994 0.994 0.018 1
Sm3 0.505 0.505 0.486 1
Ir1 0.938 0.437 0.188 1
Ir2 0.440 0.938 0.684 1
Ir3 0.437 0.437 0.188 1
Ir4 0.938 0.938 0.684 1
Ir5 0.188 0.188 0.436 1
Ir6 0.688 0.688 0.937 1
Ir7 0.437 0.938 0.188 1
Ir8 0.938 0.440 0.684 1
```

=====

Entry 2:
LiSmSnIr | GGA-PBE | relaxed

Results
formation enthalpy at 0 K	-0.606	eV per atom
electronic total energy	-21.9	eV for the cell shown
total magnetization	0.00	μB per cell
DOS at the Fermi energy	3.511	states/eV/cell

Geometry as CIF:
```
data_LiSmSnIr
_chemical_formula_sum 'Li1 Sm1 Sn1 Ir1'
_symmetry_space_group_name_H-M 'P 1'
_symmetry_Int_Tables_number 1
_cell_length_a 4.797
_cell_length_b 4.797
_cell_length_c 4.797
_cell_angle_alpha 60.00
_cell_angle_beta 60.00
_cell_angle_gamma 60.00
loop_
_symmetry_equiv_pos_as_xyz
'x,y,z'
loop_
_atom_site_label
_atom_site_fract_x
_atom_site_fract_y
_atom_site_fract_z
_atom_site_occupancy
Ir1 0.000 0.000 0.000 1
Sn1 0.750 0.750 0.750 1
Sm1 0.250 0.250 0.250 1
Li1 0.500 0.500 0.500 1
```

=====

Entry 3:
SrLiSmIr | GGA-PBE | relaxed

Results
formation enthalpy at 0 K	-0.224	eV per atom
electronic total energy	-18.1	eV for the cell shown
total magnetization	0.00	μB per cell
DOS at the Fermi energy	2.458	states/eV/cell

Geometry as CIF:
```
data_SrLiSmIr
_chemical_formula_sum 'Sr1 Li1 Sm1 Ir1'
_symmetry_space_group_name_H-M 'P 1'
_symmetry_Int_Tables_number 1
_cell_length_a 5.122
_cell_length_b 5.122
_cell_length_c 5.122
_cell_angle_alpha 60.00
_cell_angle_beta 60.00
_cell_angle_gamma 60.00
loop_
_symmetry_equiv_pos_as_xyz
'x,y,z'
loop_
_atom_site_label
_atom_site_fract_x
_atom_site_fract_y
_atom_site_fract_z
_atom_site_occupancy
Sr1 0.250 0.250 0.250 1
Ir1 0.500 0.500 0.500 1
Sm1 0.750 0.750 0.750 1
Li1 0.000 0.000 0.000 1
```

=====

Entry 4:
LiTbSmIr | GGA-PBE | relaxed

Results
formation enthalpy at 0 K	-0.504	eV per atom
electronic total energy	-22.1	eV for the cell shown
total magnetization	0.00	μB per cell
DOS at the Fermi energy	2.832	states/eV/cell

Geometry as CIF:
```
data_LiTbSmIr
_chemical_formula_sum 'Li1 Tb1 Sm1 Ir1'
_symmetry_space_group_name_H-M 'P 1'
_symmetry_Int_Tables_number 1
_cell_length_a 4.981
_cell_length_b 4.981
_cell_length_c 4.981
_cell_angle_alpha 60.00
_cell_angle_beta 60.00
_cell_angle_gamma 60.00
loop_
_symmetry_equiv_pos_as_xyz
'x,y,z'
loop_
_atom_site_label
_atom_site_fract_x
_atom_site_fract_y
_atom_site_fract_z
_atom_site_occupancy
Ir1 0.500 0.500 0.500 1
Tb1 0.750 0.750 0.750 1
Sm1 0.250 0.250 0.250 1
Li1 0.000 0.000 0.000 1
```

=====

Entry 5:
LiSmTmIr | GGA-PBE | relaxed

Results
formation enthalpy at 0 K	-0.541	eV per atom
electronic total energy	-22.1	eV for the cell shown
total magnetization	0.00	μB per cell
DOS at the Fermi energy	2.886	states/eV/cell

Geometry as CIF:
```
data_LiSmTmIr
_chemical_formula_sum 'Li1 Sm1 Tm1 Ir1'
_symmetry_space_group_name_H-M 'P 1'
_symmetry_Int_Tables_number 1
_cell_length_a 4.937
_cell_length_b 4.937
_cell_length_c 4.937
_cell_angle_alpha 60.00
_cell_angle_beta 60.00
_cell_angle_gamma 60.00
loop_
_symmetry_equiv_pos_as_xyz
'x,y,z'
loop_
_atom_site_label
_atom_site_fract_x
_atom_site_fract_y
_atom_site_fract_z
_atom_site_occupancy
Ir1 0.500 0.500 0.500 1
Tm1 0.750 0.750 0.750 1
Sm1 0.250 0.250 0.250 1
Li1 0.000 0.000 0.000 1
```

=====

Entry 6:
LiSmYIr | GGA-PBE | relaxed

Results
formation enthalpy at 0 K	-0.507	eV per atom
electronic total energy	-24.0	eV for the cell shown
total magnetization	0.00	μB per cell
DOS at the Fermi energy	2.928	states/eV/cell

Geometry as CIF:
```
data_LiSmYIr
_chemical_formula_sum 'Li1 Sm1 Y1 Ir1'
_symmetry_space_group_name_H-M 'P 1'
_symmetry_Int_Tables_number 1
_cell_length_a 4.977
_cell_length_b 4.977
_cell_length_c 4.977
_cell_angle_alpha 60.00
_cell_angle_beta 60.00
_cell_angle_gamma 60.00
loop_
_symmetry_equiv_pos_as_xyz
'x,y,z'
loop_
_atom_site_label
_atom_site_fract_x
_atom_site_fract_y
_atom_site_fract_z
_atom_site_occupancy
Y1 0.750 0.750 0.750 1
Ir1 0.500 0.500 0.500 1
Sm1 0.250 0.250 0.250 1
Li1 0.000 0.000 0.000 1
```

=====

Entry 7:
LiSmZnIr | GGA-PBE | relaxed

Results
formation enthalpy at 0 K	-0.355	eV per atom
electronic total energy	-18.2	eV for the cell shown
total magnetization	0.00	μB per cell
DOS at the Fermi energy	2.190	states/eV/cell

Geometry as CIF:
```
data_LiSmZnIr
_chemical_formula_sum 'Li1 Sm1 Zn1 Ir1'
_symmetry_space_group_name_H-M 'P 1'
_symmetry_Int_Tables_number 1
_cell_length_a 4.699
_cell_length_b 4.699
_cell_length_c 4.699
_cell_angle_alpha 60.00
_cell_angle_beta 60.00
_cell_angle_gamma 60.00
loop_
_symmetry_equiv_pos_as_xyz
'x,y,z'
loop_
_atom_site_label
_atom_site_fract_x
_atom_site_fract_y
_atom_site_fract_z
_atom_site_occupancy
Zn1 0.000 0.000 0.000 1
Ir1 0.750 0.750 0.750 1
Sm1 0.500 0.500 0.500 1
Li1 0.250 0.250 0.250 1
```

=====

Entry 8:
Li6Sn12Ir | GGA-PBE | relaxed

Results
formation enthalpy at 0 K	-0.113	eV per atom
electronic total energy	-70.5	eV for the cell shown
total magnetization	0.00	μB per cell
DOS at the Fermi energy	9.079	states/eV/cell

Geometry as CIF:
```
data_Li6Sn12Ir
_chemical_formula_sum 'Li6 Sn12 Ir1'
_symmetry_space_group_name_H-M 'P 1'
_symmetry_Int_Tables_number 1
_cell_length_a 7.782
_cell_length_b 7.782
_cell_length_c 7.782
_cell_angle_alpha 97.17
_cell_angle_beta 97.17
_cell_angle_gamma 97.17
loop_
_symmetry_equiv_pos_as_xyz
'x,y,z'
loop_
_atom_site_label
_atom_site_fract_x
_atom_site_fract_y
_atom_site_fract_z
_atom_site_occupancy
Li1 0.724 0.816 0.507 1
Li2 0.493 0.276 0.184 1
Li3 0.184 0.493 0.276 1
Li4 0.276 0.184 0.493 1
Li5 0.507 0.724 0.816 1
Li6 0.816 0.507 0.724 1
Sn1 0.836 0.515 0.368 1
Sn2 0.368 0.836 0.515 1
Sn3 0.515 0.368 0.836 1
Sn4 0.164 0.485 0.632 1
Sn5 0.632 0.164 0.485 1
Sn6 0.485 0.632 0.164 1
Sn7 0.029 0.892 0.324 1
Sn8 0.108 0.676 0.971 1
Sn9 0.676 0.971 0.108 1
Sn10 0.971 0.108 0.676 1
Sn11 0.892 0.324 0.029 1
Sn12 0.324 0.029 0.892 1
Ir1 0.000 0.000 0.000 1
```

=====

Entry 9:
Li2SnIr | GGA-PBE | relaxed

Results
formation enthalpy at 0 K	-0.412	eV per atom
electronic total energy	-18.3	eV for the cell shown
total magnetization	0.00	μB per cell
DOS at the Fermi energy	1.628	states/eV/cell

Geometry as CIF:
```
data_Li2SnIr
_chemical_formula_sum 'Li2 Sn1 Ir1'
_symmetry_space_group_name_H-M 'P 1'
_symmetry_Int_Tables_number 1
_cell_length_a 4.442
_cell_length_b 4.442
_cell_length_c 4.442
_cell_angle_alpha 60.00
_cell_angle_beta 60.00
_cell_angle_gamma 60.00
loop_
_symmetry_equiv_pos_as_xyz
'x,y,z'
loop_
_atom_site_label
_atom_site_fract_x
_atom_site_fract_y
_atom_site_fract_z
_atom_site_occupancy
Ir1 0.000 0.000 0.000 1
Sn1 0.750 0.750 0.750 1
Li1 0.500 0.500 0.500 1
Li2 0.250 0.250 0.250 1
```

=====

Entry 10:
LiSnIr3 | GGA-PBE | relaxed

Results
formation enthalpy at 0 K	1.564	eV per atom
electronic total energy	-24.7	eV for the cell shown
total magnetization	1.79	μB per cell
DOS at the Fermi energy	7.093	states/eV/cell

Geometry as CIF:
```
data_LiSnIr3
_chemical_formula_sum 'Li1 Sn1 Ir3'
_symmetry_space_group_name_H-M 'P 1'
_symmetry_Int_Tables_number 1
_cell_length_a 4.918
_cell_length_b 4.918
_cell_length_c 4.918
_cell_angle_alpha 90.00
_cell_angle_beta 90.00
_cell_angle_gamma 90.00
loop_
_symmetry_equiv_pos_as_xyz
'x,y,z'
loop_
_atom_site_label
_atom_site_fract_x
_atom_site_fract_y
_atom_site_fract_z
_atom_site_occupancy
Ir1 0.000 0.500 0.000 1
Ir2 0.000 0.000 0.500 1
Ir3 0.500 0.000 0.000 1
Sn1 0.000 0.000 0.000 1
Li1 0.500 0.500 0.500 1
```

=====

Entry 11:
Li2SnIr | GGA-PBE | relaxed

Results
formation enthalpy at 0 K	0.062	eV per atom
electronic total energy	-16.4	eV for the cell shown
total magnetization	0.00	μB per cell
DOS at the Fermi energy	2.968	states/eV/cell

Geometry as CIF:
```
data_Li2SnIr
_chemical_formula_sum 'Li2 Sn1 Ir1'
_symmetry_space_group_name_H-M 'P 1'
_symmetry_Int_Tables_number 1
_cell_length_a 2.942
_cell_length_b 2.942
_cell_length_c 9.833
_cell_angle_alpha 81.40
_cell_angle_beta 81.40
_cell_angle_gamma 60.00
loop_
_symmetry_equiv_pos_as_xyz
'x,y,z'
loop_
_atom_site_label
_atom_site_fract_x
_atom_site_fract_y
_atom_site_fract_z
_atom_site_occupancy
Ir1 0.500 0.500 0.500 1
Sn1 0.000 0.000 0.000 1
Li1 0.099 0.099 0.703 1
Li2 0.901 0.901 0.297 1
```

=====

Entry 12:
Li2Sn2Ir | GGA-PBE | relaxed

Results
formation enthalpy at 0 K	-0.254	eV per atom
electronic total energy	-43.9	eV for the cell shown
total magnetization	0.00	μB per cell
DOS at the Fermi energy	4.430	states/eV/cell

Geometry as CIF:
```
data_Li2Sn2Ir
_chemical_formula_sum 'Li4 Sn4 Ir2'
_symmetry_space_group_name_H-M 'P 1'
_symmetry_Int_Tables_number 1
_cell_length_a 5.779
_cell_length_b 5.738
_cell_length_c 7.386
_cell_angle_alpha 112.86
_cell_angle_beta 113.03
_cell_angle_gamma 90.00
loop_
_symmetry_equiv_pos_as_xyz
'x,y,z'
loop_
_atom_site_label
_atom_site_fract_x
_atom_site_fract_y
_atom_site_fract_z
_atom_site_occupancy
Li1 0.906 0.746 0.813 1
Li2 0.094 0.254 0.187 1
Li3 0.594 0.934 0.187 1
Li4 0.406 0.066 0.813 1
Sn1 0.334 0.494 0.667 1
Sn2 0.666 0.506 0.333 1
Sn3 0.166 0.827 0.333 1
Sn4 0.834 0.173 0.667 1
Ir1 0.750 0.500 0.000 1
Ir2 0.250 0.500 0.000 1
```

=====

Ordered V results: 18.2 19.5 23.8 21.8 21.3 21.8 18.3 24.2 15.5 23.8 18.1 20.4; unit Å³/atom.